1.
Entry from Alexandria via LeMat-Bulk: a relaxed ZrTcSCl2 crystal (PBE-GGA). Values from VASP.

Summary:
The size of the total moment comes out at 0.0 μB per cell. The total energy is -4.505 eV/atom. The uncorrected formation energy comes out at 0.842 eV per atom. As for the energy above the most stable polymorph in this dataset: 868 meV/atom.

Quantum ESPRESSO input file:
```
&SYSTEM
  ibrav = 0, nat = 5, ntyp = 4
/
ATOMIC_SPECIES
Zr 91.22 Zr.upf
Tc 98.00 Tc.upf
S 32.06 S.upf
Cl 35.45 Cl.upf
CELL_PARAMETERS angstrom
4.963 0.000 0.000
0.000 4.963 0.000
0.000 0.000 4.386
ATOMIC_POSITIONS angstrom
Zr 0.000 0.000 0.000
Tc 2.482 2.482 0.000
S 2.482 2.482 2.193
Cl 0.000 2.482 2.193
Cl 2.482 0.000 2.193
```

2.
Entry from Alexandria via LeMat-Bulk: a relaxed CeMnSe crystal (PBE-GGA). Values from VASP.

Summary:
The size of the total moment comes out at 0.0 μB per cell. The total energy is -6.970 eV/atom. The uncorrected formation energy comes out at -0.774 eV per atom.

Quantum ESPRESSO input file:
```
&SYSTEM
  ibrav = 0, nat = 6, ntyp = 3
/
ATOMIC_SPECIES
Ce 140.12 Ce.upf
Mn 54.94 Mn.upf
Se 78.96 Se.upf
CELL_PARAMETERS angstrom
4.058 0.000 0.000
0.000 3.880 0.000
-1.842 0.000 8.028
ATOMIC_POSITIONS angstrom
Ce 0.116 0.970 1.803
Ce 2.099 2.910 6.225
Mn 1.890 2.910 0.468
Mn 0.326 0.970 7.560
Se 0.046 0.970 5.158
Se 2.169 2.910 2.870
```